# 1
Density functional theory data (GGA-PBE) for Be2CdPt after structural relaxation.

Cell: 2.9321 2.9462 6.1481 Å, 90.00 90.00 90.00°
Fractional positions:
Be (0.0000, 0.0000, 0.0000)
Be (0.5000, 0.5000, 0.1878)
Cd (0.0000, 0.0000, 0.4628)
Pt (0.5000, 0.5000, 0.8175)

Output
Calculated total energy: -0.139 hartree per atom
SG: No. 25

# 2
Density functional theory data (GGA-PBE) for Ba2HgSe after structural relaxation.

Cell: 9.0388 9.0388 9.0388 Å, 152.73 151.45 39.89°
Fractional positions:
Ba (0.0000, 0.0000, 0.0000)
Ba (0.7265, 0.2265, 0.5000)
Hg (0.3277, 0.8277, 0.5000)
Se (0.5731, 0.5731, 0.0000)

Output
Energy above the most stable polymorph in this dataset: 69.1 meV/atom
SG: No. 44
Uncorrected formation energy: -1078 meV per atom

Listing DOS at the Fermi energy for the structures above in their given order: 1.1; 2.8 states/eV per cell.
Listing volume for the structures above in their given order: 13.277; 40.351 A^3/atom.